The following is a PBE calculation of an optimized crystal structure of Cd2ReCl, from the Alexandria database.

Cell lengths 2.9457, 2.9457, 9.6450 Å; angles 90.00, 90.00, 90.00 degrees
Space group P4mm (No. 99)
Inequivalent atoms, fractional coordinates:
Cd 0.0000 0.0000 0.0000 x1
Cd 0.5000 0.5000 0.2694 x1
Re 0.5000 0.5000 0.7833 x1
Cl 0.0000 0.0000 0.6291 x1

Computed properties:
Density of states at the Fermi level, states/eV per atom: 0.767
Magnetization, μB/f.u.: 0.0
Excess energy over the best structure of this formula in the dataset, meV per atom: 248.5
Volume, A^3/atom: 20.92


The following is a PBE calculation of an optimized crystal structure of CdRe2Cl, from the Alexandria database.

Cell lengths 2.9026, 2.9026, 30.5410 Å; angles 90.00, 90.00, 120.00 degrees
Space group R3m (No. 160, hexagonal axes)
Inequivalent atoms, fractional coordinates:
Cd 0.0000 0.0000 0.0000 x3
Re 0.0000 0.0000 0.4838 x3
Re 0.0000 0.0000 0.7502 x3
Cl 0.0000 0.0000 0.2133 x3

Computed properties:
Density of states at the Fermi level, states/eV per atom: 0.319
Magnetization, μB/f.u.: 0.0
Excess energy over the best structure of this formula in the dataset, meV per atom: 115.9
Volume, A^3/atom: 18.57


The following is a PBE calculation of an optimized crystal structure of CdReS2Cl, from the Alexandria database.

Cell lengths 5.0088, 5.0088, 4.9658 Å; angles 90.00, 90.00, 90.00 degrees
Space group P4/mmm (No. 123)
Inequivalent atoms, fractional coordinates:
Cd 0.0000 0.0000 0.0000 x1
Re 0.5000 0.5000 0.5000 x1
S 0.0000 0.5000 0.0000 x2
Cl 0.0000 0.0000 0.5000 x1

Computed properties:
Density of states at the Fermi level, states/eV per atom: 0.575
Magnetization, μB/f.u.: 4.5
Excess energy over the best structure of this formula in the dataset, meV per atom: 1163.4
Volume, A^3/atom: 24.92


The following is a PBE calculation of an optimized crystal structure of CdReS2Cl, from the Alexandria database.

Cell lengths 4.5867, 4.5867, 5.1359 Å; angles 90.00, 90.00, 90.00 degrees
Space group P4/mmm (No. 123)
Inequivalent atoms, fractional coordinates:
Cd 0.0000 0.0000 0.0000 x1
Re 0.5000 0.5000 0.5000 x1
S 0.0000 0.5000 0.5000 x2
Cl 0.5000 0.5000 0.0000 x1

Computed properties:
Density of states at the Fermi level, states/eV per atom: 0.692
Magnetization, μB/f.u.: 0.0
Excess energy over the best structure of this formula in the dataset, meV per atom: 0.0
Volume, A^3/atom: 21.61


The following is a PBE calculation of an optimized crystal structure of Cd2ReSeCl, from the Alexandria database.

Cell lengths 5.5547, 5.5547, 4.6103 Å; angles 90.00, 90.00, 90.00 degrees
Space group P4/mmm (No. 123)
Inequivalent atoms, fractional coordinates:
Cd 0.0000 0.5000 0.0000 x2
Re 0.0000 0.0000 0.5000 x1
Se 0.0000 0.0000 0.0000 x1
Cl 0.5000 0.5000 0.5000 x1

Computed properties:
Density of states at the Fermi level, states/eV per atom: 0.456
E_tot, eV/atom: -3.091
Magnetization, μB/f.u.: 2.1
Volume, A^3/atom: 28.45


The following is a PBE calculation of an optimized crystal structure of CdRhCl, from the Alexandria database.

Cell lengths 13.5464, 3.0725, 5.6082 Å; angles 90.00, 90.00, 90.00 degrees
Space group Amm2 (No. 38)
Inequivalent atoms, fractional coordinates:
Cd 0.0000 0.0000 0.0000 x2
Cd 0.5000 0.0000 0.0354 x2
Rh 0.1617 0.0000 0.3222 x4
Cl 0.2913 0.0000 0.7864 x4

Computed properties:
Density of states at the Fermi level, states/eV per atom: 0.923
Magnetization, μB/f.u.: 0.0
Excess energy over the best structure of this formula in the dataset, meV per atom: 37.3
Volume, A^3/atom: 19.45


The following is a PBE calculation of an optimized crystal structure of CdRh2Cl2, from the Alexandria database.

Cell lengths 3.5904, 3.5904, 15.7611 Å; angles 90.00, 90.00, 90.00 degrees
Space group I4/mmm (No. 139)
Inequivalent atoms, fractional coordinates:
Cd 0.0000 0.0000 0.0000 x2
Rh 0.0000 0.5000 0.2500 x4
Cl 0.0000 0.0000 0.3904 x4

Computed properties:
Density of states at the Fermi level, states/eV per atom: 0.893
Magnetization, μB/f.u.: 1.6
Excess energy over the best structure of this formula in the dataset, meV per atom: 0.0
Volume, A^3/atom: 20.32


The following is a PBE calculation of an optimized crystal structure of CdRhCl, from the Alexandria database.

Cell lengths 3.2657, 5.4960, 12.6494 Å; angles 90.00, 90.00, 90.00 degrees
Space group Fmm2 (No. 42)
Inequivalent atoms, fractional coordinates:
Cd 0.0000 0.0000 0.0000 x4
Rh 0.0000 0.0000 0.6686 x4
Cl 0.0000 0.0000 0.3180 x4

Computed properties:
Density of states at the Fermi level, states/eV per atom: 0.939
Magnetization, μB/f.u.: 0.7
Excess energy over the best structure of this formula in the dataset, meV per atom: 75.5
Volume, A^3/atom: 18.92


The following is a PBE calculation of an optimized crystal structure of Cd2RhCl, from the Alexandria database.

Cell lengths 4.1226, 4.1226, 8.9197 Å; angles 90.00, 90.00, 90.00 degrees
Space group I4/mmm (No. 139)
Inequivalent atoms, fractional coordinates:
Cd 0.0000 0.5000 0.2500 x4
Rh 0.0000 0.0000 0.0000 x2
Cl 0.0000 0.0000 0.5000 x2

Computed properties:
Density of states at the Fermi level, states/eV per atom: 0.512
Magnetization, μB/f.u.: 0.0
Excess energy over the best structure of this formula in the dataset, meV per atom: 491.7
Volume, A^3/atom: 18.95


The following is a PBE calculation of an optimized crystal structure of Cd2RhCl, from the Alexandria database.

Cell lengths 13.7536, 2.9974, 4.2096 Å; angles 90.00, 107.70, 90.00 degrees
Space group C2/m (No. 12)
Inequivalent atoms, fractional coordinates:
Cd 0.1853 0.0000 0.1861 x4
Rh 0.0000 0.5000 0.0000 x2
Cl 0.0000 0.0000 0.5000 x2

Computed properties:
Density of states at the Fermi level, states/eV per atom: 0.803
Magnetization, μB/f.u.: 0.0
Excess energy over the best structure of this formula in the dataset, meV per atom: 351.1
Volume, A^3/atom: 20.67


The following is a PBE calculation of an optimized crystal structure of Cd2RhCl, from the Alexandria database.

Cell lengths 6.7458, 6.7458, 6.7458 Å; angles 90.00, 90.00, 90.00 degrees
Space group F-43m (No. 216)
Inequivalent atoms, fractional coordinates:
Cd 0.0000 0.0000 0.0000 x4
Cd 0.2500 0.2500 0.2500 x4
Rh 0.2500 0.2500 0.7500 x4
Cl 0.0000 0.0000 0.5000 x4

Computed properties:
Density of states at the Fermi level, states/eV per atom: 0.197
Magnetization, μB/f.u.: 0.0
Excess energy over the best structure of this formula in the dataset, meV per atom: 503.5
Volume, A^3/atom: 19.19


The following is a PBE calculation of an optimized crystal structure of Cd2RhCl, from the Alexandria database.

Cell lengths 6.0293, 7.7591, 3.2489 Å; angles 90.00, 90.00, 90.00 degrees
Space group Cmmm (No. 65)
Inequivalent atoms, fractional coordinates:
Cd 0.2500 0.2500 0.0000 x4
Rh 0.0000 0.0000 0.5000 x2
Cl 0.0000 0.5000 0.5000 x2

Computed properties:
Density of states at the Fermi level, states/eV per atom: 0.475
Magnetization, μB/f.u.: 0.0
Excess energy over the best structure of this formula in the dataset, meV per atom: 250.3
Volume, A^3/atom: 19.00


The following is a PBE calculation of an optimized crystal structure of CdRhCl4, from the Alexandria database.

Cell lengths 8.2377, 8.2377, 8.2377 Å; angles 90.00, 90.00, 90.00 degrees
Space group F-43m (No. 216)
Inequivalent atoms, fractional coordinates:
Cd 0.0000 0.0000 0.0000 x4
Rh 0.2500 0.2500 0.2500 x4
Cl 0.1247 0.1247 0.6247 x16

Computed properties:
Density of states at the Fermi level, states/eV per atom: 0.927
E_tot, eV/atom: -1.816
Magnetization, μB/f.u.: 3.6
Volume, A^3/atom: 23.29


The following is a PBE calculation of an optimized crystal structure of Cd2RhCl, from the Alexandria database.

Cell lengths 7.6967, 7.6967, 5.6710 Å; angles 90.00, 90.00, 90.00 degrees
Space group I-42d (No. 122)
Inequivalent atoms, fractional coordinates:
Cd 0.2372 0.2500 0.1250 x8
Rh 0.0000 0.0000 0.0000 x4
Cl 0.0000 0.0000 0.5000 x4

Computed properties:
Density of states at the Fermi level, states/eV per atom: 0.326
Magnetization, μB/f.u.: 0.0
Excess energy over the best structure of this formula in the dataset, meV per atom: 412.0
Volume, A^3/atom: 21.00


The following is a PBE calculation of an optimized crystal structure of Cd2RhCl, from the Alexandria database.

Cell lengths 4.0605, 4.0605, 9.4050 Å; angles 90.00, 90.00, 90.00 degrees
Space group I-4m2 (No. 119)
Inequivalent atoms, fractional coordinates:
Cd 0.0000 0.0000 0.0000 x2
Cd 0.0000 0.5000 0.2500 x2
Rh 0.0000 0.0000 0.5000 x2
Cl 0.0000 0.5000 0.7500 x2

Computed properties:
Density of states at the Fermi level, states/eV per atom: 0.378
Magnetization, μB/f.u.: 0.0
Excess energy over the best structure of this formula in the dataset, meV per atom: 399.5
Volume, A^3/atom: 19.38